1.
Crystalline Rb2CoI at its relaxed geometry. Source: Alexandria, functional PBEsol.

Cell: 8.5409 8.5409 8.5409 Å, 90.00 90.00 90.00°
Last column: nearest neighbours and their distance in Å.
Fractional coordinates of all 16 atoms:
Rb 0.2500 0.2500 0.2500  4 Co 3.70, 4 I 3.70
Rb 0.2500 0.2500 0.7500  4 Co 3.70, 4 I 3.70
Rb 0.2500 0.7500 0.2500  4 Co 3.70, 4 I 3.70
Rb 0.2500 0.7500 0.7500  4 Co 3.70, 4 I 3.70
Rb 0.7500 0.2500 0.2500  4 Co 3.70, 4 I 3.70
Rb 0.7500 0.2500 0.7500  4 Co 3.70, 4 I 3.70
Rb 0.7500 0.7500 0.2500  4 Co 3.70, 4 I 3.70
Rb 0.7500 0.7500 0.7500  4 Co 3.70, 4 I 3.70
Co 0.0000 0.0000 0.0000  8 Rb 3.70
Co 0.0000 0.5000 0.5000  8 Rb 3.70
Co 0.5000 0.0000 0.5000  8 Rb 3.70
Co 0.5000 0.5000 0.0000  8 Rb 3.70
I 0.0000 0.0000 0.5000  8 Rb 3.70
I 0.0000 0.5000 0.0000  8 Rb 3.70
I 0.5000 0.0000 0.0000  8 Rb 3.70
I 0.5000 0.5000 0.5000  8 Rb 3.70

Computed properties:
* energy: -43.20 eV per cell
* calculated volume: 623.0 Å³ per cell
* E_form (uncorrected): 188.5 meV/atom

---

2.
Crystalline Ru3Rh at its relaxed geometry. Source: Alexandria, functional PBEsol.

Cell: 2.6866 8.5083 4.6587 Å, 90.00 90.00 90.00°
Last column: nearest neighbours and their distance in Å.
Fractional coordinates of all 8 atoms:
Ru 0.0000 0.0000 0.0000  8 Ru 2.62-2.69, 4 Rh 2.68-2.70
Ru 0.0000 0.2517 0.6672  9 Ru 2.62-2.69, 3 Rh 2.63-2.64
Ru 0.0000 0.7483 0.6672  9 Ru 2.62-2.69, 3 Rh 2.63-2.64
Ru 0.5000 0.2483 0.1672  9 Ru 2.62-2.69, 3 Rh 2.63-2.64
Ru 0.5000 0.5000 0.5000  8 Ru 2.62-2.69, 4 Rh 2.68-2.70
Ru 0.5000 0.7517 0.1672  9 Ru 2.62-2.69, 3 Rh 2.63-2.64
Rh 0.0000 0.5000 0.0018  10 Ru 2.63-2.70, 2 Rh 2.69
Rh 0.5000 0.0000 0.5018  10 Ru 2.63-2.70, 2 Rh 2.69

Computed properties:
* energy: -77.21 eV per cell
* calculated volume: 106.5 Å³ per cell
* DFT formation energy: 0.013 eV/atom

---

3.
Crystalline CsAlPb3 at its relaxed geometry. Source: Alexandria, functional PBEsol.

Cell: 5.5997 5.5997 5.5997 Å, 90.00 90.00 90.00°
Last column: nearest neighbours and their distance in Å.
Fractional coordinates of all 5 atoms:
Cs 0.0000 0.0000 0.0000  12 Pb 3.96
Al 0.5000 0.5000 0.5000  6 Pb 2.80
Pb 0.0000 0.5000 0.5000  2 Al 2.80
Pb 0.5000 0.0000 0.5000  2 Al 2.80
Pb 0.5000 0.5000 0.0000  2 Al 2.80

Computed properties:
* energy: -16.10 eV per cell
* calculated volume: 175.6 Å³ per cell
* DFT formation energy: 0.185 eV/atom

---

4.
Crystalline Cd2GeAs4 at its relaxed geometry. Source: Alexandria, functional PBEsol.

Cell: 7.1603 7.4109 12.6692 Å, 90.00 90.00 90.00°
Last column: nearest neighbours and their distance in Å.
Fractional coordinates of all 28 atoms:
Cd 0.0903 0.0318 0.1298  4 As 2.66-2.72
Cd 0.0903 0.4682 0.1298  4 As 2.66-2.72
Cd 0.4097 0.5318 0.6298  4 As 2.66-2.72
Cd 0.4097 0.9682 0.6298  4 As 2.66-2.72
Cd 0.5903 0.0318 0.3702  4 As 2.66-2.72
Cd 0.5903 0.4682 0.3702  4 As 2.66-2.72
Cd 0.9097 0.5318 0.8702  4 As 2.66-2.72
Cd 0.9097 0.9682 0.8702  4 As 2.66-2.72
Ge 0.0787 0.7500 0.4164  4 As 2.43-2.47
Ge 0.4213 0.2500 0.9164  4 As 2.43-2.47
Ge 0.5787 0.7500 0.0836  4 As 2.43-2.47
Ge 0.9213 0.2500 0.5836  4 As 2.43-2.47
As 0.0461 0.5162 0.6751  1 As 2.45, 1 Ge 2.46, 2 Cd 2.66-2.67
As 0.0461 0.9838 0.6751  1 As 2.45, 1 Ge 2.46, 2 Cd 2.66-2.67
As 0.0891 0.2500 0.9570  1 Ge 2.43, 4 Cd 2.69-2.72
As 0.1203 0.2500 0.4241  2 As 2.45, 1 Ge 2.47
As 0.3797 0.7500 0.9241  2 As 2.45, 1 Ge 2.47
As 0.4109 0.7500 0.4570  1 Ge 2.43, 4 Cd 2.69-2.72
As 0.4539 0.0162 0.1751  1 As 2.45, 1 Ge 2.46, 2 Cd 2.66-2.67
As 0.4539 0.4838 0.1751  1 As 2.45, 1 Ge 2.46, 2 Cd 2.66-2.67
As 0.5461 0.5162 0.8249  1 As 2.45, 1 Ge 2.46, 2 Cd 2.66-2.67
As 0.5461 0.9838 0.8249  1 As 2.45, 1 Ge 2.46, 2 Cd 2.66-2.67
As 0.5891 0.2500 0.5430  1 Ge 2.43, 4 Cd 2.69-2.72
As 0.6203 0.2500 0.0759  2 As 2.45, 1 Ge 2.47
As 0.8797 0.7500 0.5759  2 As 2.45, 1 Ge 2.47
As 0.9109 0.7500 0.0430  1 Ge 2.43, 4 Cd 2.69-2.72
As 0.9539 0.0162 0.3249  1 As 2.45, 1 Ge 2.46, 2 Cd 2.66-2.67
As 0.9539 0.4838 0.3249  1 As 2.45, 1 Ge 2.46, 2 Cd 2.66-2.67

Computed properties:
* energy: -112.47 eV per cell
* calculated volume: 672.3 Å³ per cell
* DFT formation energy: -0.051 eV/atom

---

5.
Crystalline CdTcNi at its relaxed geometry. Source: Alexandria, functional PBEsol.

Cell: 2.7273 2.7273 11.5290 Å, 90.00 90.00 90.00°
Last column: nearest neighbours and their distance in Å.
Fractional coordinates of all 6 atoms:
Cd 0.0000 0.0000 0.0000  4 Cd 2.73, 4 Ni 2.77, 4 Tc 2.94
Cd 0.5000 0.5000 0.5000  4 Cd 2.73, 4 Ni 2.77, 4 Tc 2.94
Tc 0.0000 0.0000 0.3075  4 Ni 2.48, 4 Tc 2.73
Tc 0.5000 0.5000 0.8075  4 Ni 2.48, 4 Tc 2.73
Ni 0.0000 0.0000 0.6723  4 Tc 2.48, 4 Ni 2.73, 4 Cd 2.77
Ni 0.5000 0.5000 0.1723  4 Tc 2.48, 4 Ni 2.73, 4 Cd 2.77

Computed properties:
* energy: -36.21 eV per cell
* calculated volume: 85.8 Å³ per cell
* DFT formation energy: 0.173 eV/atom

---

6.
Crystalline CeNi2Ge2 at its relaxed geometry. Source: Alexandria, functional PBEsol.

Cell: 4.0751 4.0751 9.6085 Å, 90.00 90.00 90.00°
Last column: nearest neighbours and their distance in Å.
Fractional coordinates of all 10 atoms:
Ce 0.0000 0.0000 0.0000  8 Ge 3.14, 8 Ni 3.15
Ce 0.5000 0.5000 0.5000  8 Ge 3.14, 8 Ni 3.15
Ni 0.0000 0.5000 0.2500  4 Ge 2.34
Ni 0.0000 0.5000 0.7500  4 Ge 2.34
Ni 0.5000 0.0000 0.2500  4 Ge 2.34
Ni 0.5000 0.0000 0.7500  4 Ge 2.34
Ge 0.0000 0.0000 0.3700  4 Ni 2.34, 1 Ge 2.50
Ge 0.0000 0.0000 0.6300  4 Ni 2.34, 1 Ge 2.50
Ge 0.5000 0.5000 0.1300  4 Ni 2.34, 1 Ge 2.50
Ge 0.5000 0.5000 0.8700  4 Ni 2.34, 1 Ge 2.50

Computed properties:
* energy: -64.49 eV per cell
* calculated volume: 159.6 Å³ per cell
* DFT formation energy: -0.692 eV/atom

---

7.
Crystalline LiMn2Si2 at its relaxed geometry. Source: Alexandria, functional PBEsol.

Cell: 3.7219 3.7219 10.1883 Å, 90.00 90.00 90.00°
Last column: nearest neighbours and their distance in Å.
Fractional coordinates of all 10 atoms:
Li 0.0000 0.0000 0.0000  8 Si 2.89, 8 Mn 3.15
Li 0.5000 0.5000 0.5000  8 Si 2.89, 8 Mn 3.15
Mn 0.0000 0.5000 0.2500  4 Si 2.31
Mn 0.0000 0.5000 0.7500  4 Si 2.31
Mn 0.5000 0.0000 0.2500  4 Si 2.31
Mn 0.5000 0.0000 0.7500  4 Si 2.31
Si 0.0000 0.0000 0.3839  4 Mn 2.31, 1 Si 2.37
Si 0.0000 0.0000 0.6161  4 Mn 2.31, 1 Si 2.37
Si 0.5000 0.5000 0.1161  4 Mn 2.31, 1 Si 2.37
Si 0.5000 0.5000 0.8839  4 Mn 2.31, 1 Si 2.37

Computed properties:
* energy: -67.05 eV per cell
* calculated volume: 141.1 Å³ per cell
* E_form (uncorrected): -108.8 meV/atom

---

8.
Crystalline Li2MnO2F at its relaxed geometry. Source: Alexandria, functional PBEsol.

Cell: 5.0572 5.0572 9.6259 Å, 94.75 94.75 119.67°
Last column: nearest neighbours and their distance in Å.
Fractional coordinates of all 24 atoms:
Li 0.0000 0.5000 0.0000  2 F 2.00, 4 O 2.05-2.23
Li 0.1408 0.3316 0.5032  3 O 1.96-2.16, 2 F 1.99-2.20
Li 0.2378 0.7622 0.7500  4 O 2.01-2.12, 2 F 2.13
Li 0.3316 0.1408 0.0032  3 O 1.96-2.16, 2 F 1.99-2.20
Li 0.5000 0.0000 0.5000  2 F 2.00, 4 O 2.05-2.23
Li 0.6684 0.8592 0.9968  3 O 1.96-2.16, 2 F 1.99-2.20
Li 0.7622 0.2378 0.2500  4 O 2.01-2.12, 2 F 2.13
Li 0.8592 0.6684 0.4968  3 O 1.96-2.16, 2 F 1.99-2.20
Mn 0.0867 0.9133 0.2500  4 O 1.91-1.92
Mn 0.4091 0.5909 0.2500  4 O 1.90-1.99
Mn 0.5909 0.4091 0.7500  4 O 1.90-1.99
Mn 0.9133 0.0867 0.7500  4 O 1.91-1.92
O 0.0817 0.2192 0.1453  2 Mn 1.90-1.92, 2 Li 2.01-2.08
O 0.1317 0.6480 0.3675  2 Mn 1.91-1.99, 3 Li 1.96-2.12
O 0.2192 0.0817 0.6453  2 Mn 1.90-1.92, 2 Li 2.01-2.08
O 0.3520 0.8683 0.1325  2 Mn 1.91-1.99, 3 Li 1.96-2.12
O 0.6480 0.1317 0.8675  2 Mn 1.91-1.99, 3 Li 1.96-2.12
O 0.7808 0.9183 0.3547  2 Mn 1.90-1.92, 2 Li 2.01-2.08
O 0.8683 0.3520 0.6325  2 Mn 1.91-1.99, 3 Li 1.96-2.12
O 0.9183 0.7808 0.8547  2 Mn 1.90-1.92, 2 Li 2.01-2.08
F 0.3070 0.4848 0.8862  4 Li 1.99-2.20, 2 Mn 2.17-2.21
F 0.4848 0.3070 0.3862  4 Li 1.99-2.20, 2 Mn 2.17-2.21
F 0.5152 0.6930 0.6138  4 Li 1.99-2.20, 2 Mn 2.17-2.21
F 0.6930 0.5152 0.1138  4 Li 1.99-2.20, 2 Mn 2.17-2.21

Computed properties:
* energy: -155.15 eV per cell
* calculated volume: 211.0 Å³ per cell
* E_form (uncorrected): -2111.2 meV/atom

---

9.
Crystalline Re3SnS at its relaxed geometry. Source: Alexandria, functional PBEsol.

Cell: 4.8112 4.8112 4.8112 Å, 90.00 90.00 90.00°
Last column: nearest neighbours and their distance in Å.
Fractional coordinates of all 5 atoms:
Re 0.0000 0.0000 0.5000  2 Sn 2.41
Re 0.0000 0.5000 0.0000  2 Sn 2.41
Re 0.5000 0.0000 0.0000  2 Sn 2.41
Sn 0.0000 0.0000 0.0000  6 Re 2.41
S 0.5000 0.5000 0.5000  12 Re 3.40

Computed properties:
* energy: -32.03 eV per cell
* calculated volume: 111.4 Å³ per cell
* E_form (uncorrected): 3321.2 meV/atom

---

10.
Crystalline AgBrO2 at its relaxed geometry. Source: Alexandria, functional PBEsol.

Cell: 4.6861 20.7240 3.4916 Å, 90.00 90.82 90.00°
Last column: nearest neighbours and their distance in Å.
Fractional coordinates of all 16 atoms:
Ag 0.2500 0.2500 0.0000  2 Br 2.49
Ag 0.2500 0.7500 0.5000  2 Br 2.49
Ag 0.7500 0.2500 0.5000  2 Br 2.49
Ag 0.7500 0.7500 0.0000  2 Br 2.49
Br 0.0000 0.1532 0.2500  2 Ag 2.49
Br 0.0000 0.8468 0.7500  2 Ag 2.49
Br 0.5000 0.3468 0.7500  2 Ag 2.49
Br 0.5000 0.6532 0.2500  2 Ag 2.49
O 0.1308 0.4682 0.2526  1 O 1.23
O 0.1308 0.5318 0.7526  1 O 1.23
O 0.3692 0.0318 0.7474  1 O 1.23
O 0.3692 0.9682 0.2474  1 O 1.23
O 0.6308 0.0318 0.7526  1 O 1.23
O 0.6308 0.9682 0.2526  1 O 1.23
O 0.8692 0.4682 0.2474  1 O 1.23
O 0.8692 0.5318 0.7474  1 O 1.23

Computed properties:
* energy: -63.74 eV per cell
* calculated volume: 339.1 Å³ per cell
* E_form (uncorrected): -63.7 meV/atom

---

11.
Crystalline Sc2TcMo at its relaxed geometry. Source: Alexandria, functional PBEsol.

Cell: 3.2113 4.6838 9.4400 Å, 90.00 90.00 90.00°
Last column: nearest neighbours and their distance in Å.
Fractional coordinates of all 8 atoms:
Sc 0.0000 0.0000 0.0000  2 Tc 2.87, 4 Mo 2.88, 4 Sc 3.08-3.14
Sc 0.0000 0.5000 0.2218  4 Tc 2.85, 4 Mo 3.03-3.18, 4 Sc 3.08-3.14
Sc 0.5000 0.0000 0.7218  4 Tc 2.85, 4 Mo 3.03-3.18, 4 Sc 3.08-3.14
Sc 0.5000 0.5000 0.5000  2 Tc 2.87, 4 Mo 2.88, 4 Sc 3.08-3.14
Tc 0.0000 0.5000 0.7516  2 Mo 2.47
Tc 0.5000 0.0000 0.2516  2 Mo 2.47
Mo 0.0000 0.0000 0.4499  2 Tc 2.47
Mo 0.5000 0.5000 0.9499  2 Tc 2.47

Computed properties:
* energy: -73.04 eV per cell
* calculated volume: 142.0 Å³ per cell
* DFT formation energy: -0.068 eV/atom

---

12.
Crystalline Bi2TePb2 at its relaxed geometry. Source: Alexandria, functional PBEsol.

Cell: 4.4241 4.4241 16.7188 Å, 90.00 90.00 90.00°
Last column: nearest neighbours and their distance in Å.
Fractional coordinates of all 10 atoms:
Bi 0.0000 0.5000 0.2500  4 Bi 3.13, 4 Pb 3.40
Bi 0.0000 0.5000 0.7500  4 Bi 3.13, 4 Pb 3.40
Bi 0.5000 0.0000 0.2500  4 Bi 3.13, 4 Pb 3.40
Bi 0.5000 0.0000 0.7500  4 Bi 3.13, 4 Pb 3.40
Te 0.0000 0.0000 0.0000  8 Pb 3.51
Te 0.5000 0.5000 0.5000  8 Pb 3.51
Pb 0.0000 0.0000 0.4048  1 Pb 3.18, 4 Bi 3.40, 4 Te 3.51
Pb 0.0000 0.0000 0.5952  1 Pb 3.18, 4 Bi 3.40, 4 Te 3.51
Pb 0.5000 0.5000 0.0952  1 Pb 3.18, 4 Bi 3.40, 4 Te 3.51
Pb 0.5000 0.5000 0.9048  1 Pb 3.18, 4 Bi 3.40, 4 Te 3.51

Computed properties:
* energy: -40.23 eV per cell
* calculated volume: 327.2 Å³ per cell
* E_form (uncorrected): -4.1 meV/atom